1.
# PBE-GGA La2PuF11, optimized geometry
data_La2PuF11
_symmetry_space_group_name_H-M 'I b a m'
_symmetry_Int_Tables_number 72
_symmetry_space_group_name_Hall '-I 2 2c'
_cell_length_a 8.5780
_cell_length_b 10.8174
_cell_length_c 11.2615
_cell_angle_alpha 90.00
_cell_angle_beta 90.00
_cell_angle_gamma 90.00
loop_
_atom_site_label
_atom_site_type_symbol
_atom_site_fract_x
_atom_site_fract_y
_atom_site_fract_z
_atom_site_occupancy
La1 La 0.1401 0.1820 0.0000 1
Pu1 Pu 0.0000 0.5000 0.2500 1
F1 F 0.0000 0.0000 0.0000 1
F2 F 0.0908 0.3377 0.1526 1
F3 F 0.1244 0.2223 0.5000 1
F4 F 0.1968 0.4368 0.3584 1
# Crystal system: orthorhombic
# Raw formation energy in meV/atom: -3639



2.
# PBE-GGA LaPuF6, optimized geometry
data_LaPuF6
_symmetry_space_group_name_H-M 'P 42/m'
_symmetry_Int_Tables_number 84
_cell_length_a 5.6144
_cell_length_b 5.6144
_cell_length_c 8.3348
_cell_angle_alpha 90.00
_cell_angle_beta 90.00
_cell_angle_gamma 90.00
loop_
_symmetry_equiv_pos_as_xyz
'x,y,z'
'-x,-y,-z'
'-y,x,z+1/2'
'y,-x,-z+1/2'
'-x,-y,z'
'x,y,-z'
'y,-x,z+1/2'
'-y,x,-z+1/2'
loop_
_atom_site_label
_atom_site_type_symbol
_atom_site_fract_x
_atom_site_fract_y
_atom_site_fract_z
_atom_site_occupancy
La1 La 0.0000 0.0000 0.0000 1
Pu1 Pu 0.5000 0.5000 0.2500 1
F1 F 0.1978 0.2417 0.1820 1
F2 F 0.3064 0.3297 0.5000 1
# Crystal system: tetragonal
# Raw formation energy in meV/atom: -3825



3.
# PBE-GGA LaPu2F11, optimized geometry
data_LaPu2F11
_symmetry_space_group_name_H-M 'I b a m'
_symmetry_Int_Tables_number 72
_symmetry_space_group_name_Hall '-I 2 2c'
_cell_length_a 8.4884
_cell_length_b 10.4246
_cell_length_c 11.4689
_cell_angle_alpha 90.00
_cell_angle_beta 90.00
_cell_angle_gamma 90.00
loop_
_atom_site_label
_atom_site_type_symbol
_atom_site_fract_x
_atom_site_fract_y
_atom_site_fract_z
_atom_site_occupancy
La1 La 0.0000 0.0000 0.2500 1
Pu1 Pu 0.1509 0.3205 0.0000 1
F1 F 0.0000 0.5000 0.0000 1
F2 F 0.0872 0.1850 0.1383 1
F3 F 0.1342 0.2850 0.5000 1
F4 F 0.2259 0.0684 0.3672 1
# Crystal system: orthorhombic
# Raw formation energy in meV/atom: -3648



4.
# PBE-GGA La2PuF8, optimized geometry
data_La2PuF8
_symmetry_space_group_name_H-M 'I m m m'
_symmetry_Int_Tables_number 71
_symmetry_space_group_name_Hall '-I 2 2'
_cell_length_a 3.9690
_cell_length_b 6.6613
_cell_length_c 11.5782
_cell_angle_alpha 90.00
_cell_angle_beta 90.00
_cell_angle_gamma 90.00
loop_
_atom_site_label
_atom_site_type_symbol
_atom_site_fract_x
_atom_site_fract_y
_atom_site_fract_z
_atom_site_occupancy
La1 La 0.0000 0.0000 0.1820 1
Pu1 Pu 0.0000 0.0000 0.5000 1
F1 F 0.0000 0.1910 0.0000 1
F2 F 0.0000 0.2790 0.3403 1
F3 F 0.0000 0.5000 0.1514 1
# Crystal system: orthorhombic
# Raw formation energy in meV/atom: -3795



5.
# PBE-GGA RbLaF2, optimized geometry
data_RbLaF2
_symmetry_space_group_name_H-M 'R -3 m'
_symmetry_Int_Tables_number 166
_symmetry_space_group_name_Hall '-R 3 2"'
_cell_length_a 4.1315
_cell_length_b 4.1315
_cell_length_c 22.9036
_cell_angle_alpha 90.00
_cell_angle_beta 90.00
_cell_angle_gamma 120.00
loop_
_atom_site_label
_atom_site_type_symbol
_atom_site_fract_x
_atom_site_fract_y
_atom_site_fract_z
_atom_site_occupancy
Rb1 Rb 0.0000 0.0000 0.0000 1
La1 La 0.0000 0.0000 0.5000 1
F1 F 0.0000 0.0000 0.4005 1
# Crystal system: trigonal
# Energy relative to the lowest polymorph listed for this composition in eV per atom: 0.0000
# Raw formation energy in meV/atom: -2613



6.
# PBE-GGA RbLaF3, optimized geometry
data_RbLaF3
_symmetry_space_group_name_H-M 'P m -3 m'
_symmetry_Int_Tables_number 221
_symmetry_space_group_name_Hall '-P 4 2 3'
_cell_length_a 4.9024
_cell_length_b 4.9024
_cell_length_c 4.9024
_cell_angle_alpha 90.00
_cell_angle_beta 90.00
_cell_angle_gamma 90.00
loop_
_atom_site_label
_atom_site_type_symbol
_atom_site_fract_x
_atom_site_fract_y
_atom_site_fract_z
_atom_site_occupancy
Rb1 Rb 0.0000 0.0000 0.0000 1
La1 La 0.5000 0.5000 0.5000 1
F1 F 0.0000 0.5000 0.5000 1
# Crystal system: cubic
# Energy relative to the lowest polymorph listed for this composition in eV per atom: 0.0000
# Raw formation energy in meV/atom: -3082



7.
# PBE-GGA Rb3LaF, optimized geometry
data_Rb3LaF
_symmetry_space_group_name_H-M 'P m -3 m'
_symmetry_Int_Tables_number 221
_symmetry_space_group_name_Hall '-P 4 2 3'
_cell_length_a 7.4942
_cell_length_b 7.4942
_cell_length_c 7.4942
_cell_angle_alpha 90.00
_cell_angle_beta 90.00
_cell_angle_gamma 90.00
loop_
_atom_site_label
_atom_site_type_symbol
_atom_site_fract_x
_atom_site_fract_y
_atom_site_fract_z
_atom_site_occupancy
Rb1 Rb 0.0000 0.0000 0.5000 1
La1 La 0.0000 0.0000 0.0000 1
F1 F 0.5000 0.5000 0.5000 1
# Crystal system: cubic
# Raw formation energy in meV/atom: 291



8.
# PBE-GGA RbLa2F7, optimized geometry
data_RbLa2F7
_symmetry_space_group_name_H-M 'I 4/m m m'
_symmetry_Int_Tables_number 139
_symmetry_space_group_name_Hall '-I 4 2'
_cell_length_a 4.3094
_cell_length_b 4.3094
_cell_length_c 17.8967
_cell_angle_alpha 90.00
_cell_angle_beta 90.00
_cell_angle_gamma 90.00
loop_
_atom_site_label
_atom_site_type_symbol
_atom_site_fract_x
_atom_site_fract_y
_atom_site_fract_z
_atom_site_occupancy
Rb1 Rb 0.0000 0.0000 0.0000 1
La1 La 0.0000 0.0000 0.3453 1
F1 F 0.0000 0.0000 0.5000 1
F2 F 0.0000 0.5000 0.1059 1
F3 F 0.0000 0.5000 0.2500 1
# Crystal system: tetragonal
# Raw formation energy in meV/atom: -3812



| no. | total DFT energy (no corrections) (eV/atom) |
| --- | --- |
| 1 | -6.84 |
| 2 | -7.64 |
| 3 | -7.52 |
| 4 | -7.35 |
| 5 | -5.02 |
| 6 | -5.38 |
| 7 | -1.65 |
| 8 | -6.20 |